# 1
! AcLaN2 | Alexandria via LeMat-Bulk | PBE | optimized geometry; values from VASP
! theoretical density	8207	kg/m³
! crystal system	trigonal
! total magnetization	0.0	μB/f.u.
&SYSTEM
  ibrav = 0, nat = 4, ntyp = 3
/
ATOMIC_SPECIES
Ac 227.00 Ac.upf
La 138.91 La.upf
N 14.01 N.upf
ATOMIC_POSITIONS angstrom
Ac 0.000 0.000 0.000
La 0.000 0.000 9.399
N 0.000 0.000 4.642
N 0.000 0.000 14.156
CELL_PARAMETERS angstrom
1.916 1.106 6.266
-1.916 1.106 6.266
0.000 -2.213 6.266

---

# 2
! Ac2LaN2 | Alexandria via LeMat-Bulk | PBE | optimized geometry; values from VASP
! theoretical density	8257	kg/m³
! crystal system	trigonal
! total magnetization	0.0	μB/f.u.
&SYSTEM
  ibrav = 0, nat = 5, ntyp = 3
/
ATOMIC_SPECIES
Ac 227.00 Ac.upf
La 138.91 La.upf
N 14.01 N.upf
ATOMIC_POSITIONS angstrom
Ac 0.000 0.000 6.968
Ac 0.000 0.000 22.912
La 0.000 0.000 0.000
N 0.000 0.000 11.554
N 0.000 0.000 18.325
CELL_PARAMETERS angstrom
1.902 1.098 9.960
-1.902 1.098 9.960
0.000 -2.197 9.960

---

# 3
! Ac3LaN4 | Alexandria via LeMat-Bulk | PBE | optimized geometry; values from VASP
! theoretical density	8836	kg/m³
! crystal system	orthorhombic
! total magnetization	0.0	μB/f.u.
&SYSTEM
  ibrav = 0, nat = 8, ntyp = 3
/
ATOMIC_SPECIES
Ac 227.00 Ac.upf
La 138.91 La.upf
N 14.01 N.upf
ATOMIC_POSITIONS angstrom
Ac 0.000 0.000 0.000
Ac 1.938 2.739 1.938
Ac 1.938 -2.739 1.938
La 3.876 0.000 0.000
N 3.876 2.701 0.000
N 1.982 0.000 1.938
N 5.771 0.000 1.938
N 3.876 -2.701 0.000
CELL_PARAMETERS angstrom
3.876 -5.478 0.000
3.876 5.478 0.000
0.000 0.000 3.876

---

# 4
! Ac4LaN5 | Alexandria via LeMat-Bulk | PBE | optimized geometry; values from VASP
! theoretical density	8842	kg/m³
! crystal system	tetragonal
! total magnetization	0.0	μB/f.u.
&SYSTEM
  ibrav = 0, nat = 10, ntyp = 3
/
ATOMIC_SPECIES
Ac 227.00 Ac.upf
La 138.91 La.upf
N 14.01 N.upf
ATOMIC_POSITIONS angstrom
Ac 5.918 0.861 0.000
Ac 0.861 2.527 0.000
Ac 3.361 1.695 2.942
Ac -1.695 3.361 2.942
La 0.000 0.000 2.926
N 0.000 0.000 0.530
N 3.406 1.727 0.371
N 2.495 -0.816 3.312
N 1.727 5.038 0.371
N 0.816 2.495 3.312
CELL_PARAMETERS angstrom
-4.222 4.222 2.942
4.222 -4.222 2.942
4.222 4.222 -2.942

---

# 5
! AcLaN2 | Alexandria via LeMat-Bulk | PBE | optimized geometry; values from VASP
! theoretical density	7548	kg/m³
! crystal system	trigonal
! total magnetization	0.0	μB/f.u.
&SYSTEM
  ibrav = 0, nat = 24, ntyp = 3
/
ATOMIC_SPECIES
Ac 227.00 Ac.upf
La 138.91 La.upf
N 14.01 N.upf
ATOMIC_POSITIONS angstrom
Ac -2.552 -2.682 4.816
Ac -3.599 0.869 4.763
Ac 1.047 -3.551 4.763
Ac -1.047 3.551 4.816
Ac 3.599 -0.869 4.816
Ac 2.552 2.682 4.763
La -0.466 -2.172 1.714
La -1.648 1.489 1.714
La 2.114 0.683 1.714
La -2.114 -0.683 7.864
La 1.648 -1.489 7.864
La 0.466 2.172 7.864
N -0.995 -4.010 3.008
N -2.238 -0.672 2.700
N -2.975 2.867 3.008
N 1.701 -1.603 2.700
N -3.970 -1.143 6.571
N 0.538 2.274 2.700
N -0.538 -2.274 6.878
N 3.970 1.143 3.007
N -1.701 1.603 6.878
N 2.975 -2.867 6.571
N 2.238 0.672 6.878
N 0.995 4.010 6.571
CELL_PARAMETERS angstrom
6.856 3.959 3.193
-6.856 3.959 3.193
0.000 -7.917 3.193

---

# 6
! AcLaN2 | Alexandria via LeMat-Bulk | PBE | optimized geometry; values from VASP
! theoretical density	8307	kg/m³
! crystal system	trigonal
! total magnetization	0.0	μB/f.u.
&SYSTEM
  ibrav = 0, nat = 4, ntyp = 3
/
ATOMIC_SPECIES
Ac 227.00 Ac.upf
La 138.91 La.upf
N 14.01 N.upf
ATOMIC_POSITIONS angstrom
Ac 0.000 0.000 0.000
La 0.000 0.000 16.302
N 0.000 0.000 7.904
N 0.000 0.000 11.086
CELL_PARAMETERS angstrom
1.865 1.077 6.534
-1.865 1.077 6.534
0.000 -2.154 6.534

---

# 7
! AcLaN2 | Alexandria via LeMat-Bulk | PBE | optimized geometry; values from VASP
! theoretical density	8334	kg/m³
! crystal system	monoclinic
! total magnetization	0.0	μB/f.u.
&SYSTEM
  ibrav = 0, nat = 4, ntyp = 3
/
ATOMIC_SPECIES
Ac 227.00 Ac.upf
La 138.91 La.upf
N 14.01 N.upf
ATOMIC_POSITIONS angstrom
Ac 0.000 0.000 0.000
La -0.004 0.000 3.262
N 2.147 0.000 4.840
N 4.302 0.000 1.684
CELL_PARAMETERS angstrom
3.228 -1.864 0.000
3.228 1.864 0.000
-0.007 0.000 6.524

---

# 8
! Ac3LaN | Alexandria via LeMat-Bulk | PBE | optimized geometry; values from VASP
! theoretical density	8458	kg/m³
! crystal system	cubic
! total magnetization	0.0	μB/f.u.
&SYSTEM
  ibrav = 0, nat = 5, ntyp = 3
/
ATOMIC_SPECIES
Ac 227.00 Ac.upf
La 138.91 La.upf
N 14.01 N.upf
ATOMIC_POSITIONS angstrom
Ac 0.000 0.000 2.735
Ac 0.000 2.735 0.000
Ac 2.735 0.000 0.000
La 2.735 2.735 2.735
N 0.000 0.000 0.000
CELL_PARAMETERS angstrom
5.470 0.000 0.000
0.000 5.470 0.000
0.000 0.000 5.470

---

# 9
! Ac3LaN3 | Alexandria via LeMat-Bulk | PBE | optimized geometry; values from VASP
! theoretical density	8696	kg/m³
! crystal system	orthorhombic
! total magnetization	0.0	μB/f.u.
&SYSTEM
  ibrav = 0, nat = 14, ntyp = 3
/
ATOMIC_SPECIES
Ac 227.00 Ac.upf
La 138.91 La.upf
N 14.01 N.upf
ATOMIC_POSITIONS angstrom
Ac 5.354 4.238 4.181
Ac 2.693 1.364 4.181
Ac 2.693 -1.364 1.394
Ac 8.016 1.364 4.181
Ac 8.016 -1.364 1.394
Ac 5.354 -4.238 1.394
La 5.354 1.608 1.394
La 5.354 -1.608 4.181
N 5.354 4.129 1.394
N 2.802 1.413 1.394
N 2.802 -1.413 4.181
N 7.907 1.413 1.394
N 7.907 -1.413 4.181
N 5.354 -4.129 4.181
CELL_PARAMETERS angstrom
5.354 -5.515 0.000
5.354 5.515 0.000
0.000 0.000 5.574

---

# 10
! AcLa8N6 | Alexandria via LeMat-Bulk | PBE | optimized geometry; values from VASP
! theoretical density	6630	kg/m³
! crystal system	trigonal
! total magnetization	2.2	μB/f.u.
&SYSTEM
  ibrav = 0, nat = 15, ntyp = 3
/
ATOMIC_SPECIES
Ac 227.00 Ac.upf
La 138.91 La.upf
N 14.01 N.upf
ATOMIC_POSITIONS angstrom
Ac 0.000 0.000 0.000
La -1.084 -1.874 12.670
La -2.165 0.001 16.550
La 0.000 0.000 9.740
La -1.081 1.876 12.670
La 1.081 -1.876 16.551
La 0.000 0.000 19.481
La 2.165 -0.001 12.670
La 1.084 1.874 16.551
N -2.149 -0.030 11.461
N -1.048 -1.876 17.760
N 1.101 -1.846 11.461
N -1.101 1.846 17.760
N 1.048 1.876 11.461
N 2.149 0.030 17.760
CELL_PARAMETERS angstrom
3.249 1.876 9.740
-3.249 1.876 9.740
0.000 -3.752 9.740

---

# 11
! Ac2La3NbN6 | Alexandria via LeMat-Bulk | PBE | optimized geometry; values from VASP
! theoretical density	8312	kg/m³
! crystal system	monoclinic
! total magnetization	0.0	μB/f.u.
&SYSTEM
  ibrav = 0, nat = 12, ntyp = 4
/
ATOMIC_SPECIES
Ac 227.00 Ac.upf
La 138.91 La.upf
Nb 92.91 Nb.upf
N 14.01 N.upf
ATOMIC_POSITIONS angstrom
Ac 3.188 3.697 0.000
Ac 3.188 -3.697 0.000
La -1.039 0.000 2.945
La 2.148 1.764 2.945
La 2.148 -1.764 2.945
Nb 3.188 0.000 0.000
N 0.198 1.550 4.577
N 1.344 0.000 1.393
N 0.198 -1.550 4.577
N 4.099 1.550 1.312
N 2.953 0.000 4.497
N 4.099 -1.550 1.312
CELL_PARAMETERS angstrom
3.188 -5.574 0.000
3.188 5.574 0.000
-2.079 0.000 5.889

---

# 12
! AcLaNbN4 | Alexandria via LeMat-Bulk | PBE | optimized geometry; values from VASP
! theoretical density	7728	kg/m³
! crystal system	orthorhombic
! total magnetization	0.0	μB/f.u.
&SYSTEM
  ibrav = 0, nat = 14, ntyp = 4
/
ATOMIC_SPECIES
Ac 227.00 Ac.upf
La 138.91 La.upf
Nb 92.91 Nb.upf
N 14.01 N.upf
ATOMIC_POSITIONS angstrom
Ac 2.923 5.082 4.383
Ac 2.923 -5.082 1.461
La 2.923 1.362 4.383
La 2.923 -1.362 1.461
Nb 2.923 3.291 1.461
Nb 2.923 -3.291 4.383
N 1.461 3.238 0.000
N 1.461 3.238 2.922
N 2.923 5.351 1.461
N 2.923 1.026 1.461
N 1.461 -3.238 0.000
N 1.461 -3.238 2.922
N 2.923 -1.026 4.383
N 2.923 -5.351 4.383
CELL_PARAMETERS angstrom
2.923 -6.476 0.000
2.923 6.476 0.000
0.000 0.000 5.844

---

| no. | formation energy (no corrections) (eV/atom) |
| --- | --- |
| 1 | -1.18 |
| 2 | -0.94 |
| 3 | -1.11 |
| 4 | -1.13 |
| 5 | -1.07 |
| 6 | -1.05 |
| 7 | -0.95 |
| 8 | -0.38 |
| 9 | -0.94 |
| 10 | -1.06 |
| 11 | -1.15 |
| 12 | -1.04 |